Entry 1:
A plane-wave DFT calculation with PBE was carried out for an optimized crystal structure of TbZnNiPb.

Unit cell a=6.8228 b=6.8228 c=6.8228 alpha=90.00 beta=90.00 gamma=90.00
Atoms (fractional coordinates):
Tb 0.0000 0.0000 0.0000
Tb 0.0000 0.5000 0.5000
Tb 0.5000 0.0000 0.5000
Tb 0.5000 0.5000 0.0000
Zn 0.2500 0.2500 0.2500
Zn 0.2500 0.7500 0.7500
Zn 0.7500 0.2500 0.7500
Zn 0.7500 0.7500 0.2500
Ni 0.2500 0.2500 0.7500
Ni 0.2500 0.7500 0.2500
Ni 0.7500 0.2500 0.2500
Ni 0.7500 0.7500 0.7500
Pb 0.0000 0.0000 0.5000
Pb 0.0000 0.5000 0.0000
Pb 0.5000 0.0000 0.0000
Pb 0.5000 0.5000 0.5000

Output
- space group = F-43m
- VASP energy (eV/atom) = -4.0547
- energy of formation (meV/atom) = -206
- total magnetization (μB/f.u.) = 0.00

Entry 2:
A plane-wave DFT calculation with PBE was carried out for an optimized crystal structure of TcNi2Pb.

Unit cell a=3.9438 b=3.9438 c=7.7692 alpha=90.00 beta=90.00 gamma=90.00
Atoms (fractional coordinates):
Tc 0.0000 0.0000 0.0000
Tc 0.5000 0.5000 0.5000
Ni 0.0000 0.0000 0.5000
Ni 0.0000 0.5000 0.7500
Ni 0.5000 0.0000 0.2500
Ni 0.5000 0.5000 0.0000
Pb 0.0000 0.5000 0.2500
Pb 0.5000 0.0000 0.7500

Output
- space group = I-4m2
- VASP energy (eV/atom) = -5.9740
- energy of formation (meV/atom) = 435
- total magnetization (μB/f.u.) = 2.16

Entry 3:
A plane-wave DFT calculation with PBE was carried out for an optimized crystal structure of TcNi4Pb.

Unit cell a=4.8595 b=4.8595 c=4.8595 alpha=60.00 beta=60.00 gamma=60.00
Atoms (fractional coordinates):
Tc 0.0000 0.0000 0.0000
Ni 0.3741 0.3741 0.3741
Ni 0.3741 0.3741 0.8778
Ni 0.3741 0.8778 0.3741
Ni 0.8778 0.3741 0.3741
Pb 0.7500 0.7500 0.7500

Output
- space group = F-43m
- VASP energy (eV/atom) = -5.9241
- energy of formation (meV/atom) = 276
- total magnetization (μB/f.u.) = 3.85